This record from the Alexandria database describes an optimized crystal structure of KLa2Cu. The functional is PBE-GGA.

Cell lengths 6.785, 12.112, 3.617 Å; angles 90.00, 118.32, 90.00 degrees
Space group C2/m (No. 12)
One atom of each set of equivalent atoms:
K (0.000, 0.000, 0.000) (multiplicity 2)
La (0.250, 0.250, 0.500) (multiplicity 4)
Cu (0.000, 0.500, 0.000) (multiplicity 2)



This record from the Alexandria database describes an optimized crystal structure of KLaCu. The functional is PBE-GGA.

Cell lengths 4.0864, 4.0864, 8.1040 Å; angles 90.00, 90.00, 120.00 degrees
Space group P3m1 (No. 156)
One atom of each set of equivalent atoms:
K (0.0000, 0.0000, 0.0000) (multiplicity 1)
La (0.6667, 0.3333, 0.4976) (multiplicity 1)
Cu (0.3333, 0.6667, 0.6957) (multiplicity 1)



This record from the Alexandria database describes an optimized crystal structure of KLa2Cu. The functional is PBE-GGA.

Cell lengths 3.823, 3.829, 9.899 Å; angles 90.00, 90.04, 90.00 degrees
Space group Pm (No. 6)
One atom of each set of equivalent atoms:
K (0.000, 0.000, 0.000) (multiplicity 1)
La (0.498, 0.500, 0.633) (multiplicity 1)
La (0.998, 0.000, 0.385) (multiplicity 1)
Cu (0.498, 0.500, 0.256) (multiplicity 1)



This record from the Alexandria database describes an optimized crystal structure of KLa2Cu. The functional is PBE-GGA.

Cell lengths 3.9388, 3.9388, 34.5121 Å; angles 90.00, 90.00, 120.00 degrees
Space group R-3m (No. 166, hexagonal axes)
One atom of each set of equivalent atoms:
K (0.0000, 0.0000, 0.0000) (multiplicity 3)
La (0.0000, 0.0000, 0.2213) (multiplicity 6)
Cu (0.0000, 0.0000, 0.5000) (multiplicity 3)



This record from the Alexandria database describes an optimized crystal structure of KLa2Cu. The functional is PBE-GGA.

Cell lengths 3.846, 5.761, 5.868 Å; angles 90.00, 90.00, 90.00 degrees
Space group Pmmm (No. 47)
One atom of each set of equivalent atoms:
K (0.000, 0.000, 0.000) (multiplicity 1)
La (0.000, 0.500, 0.500) (multiplicity 1)
La (0.500, 0.000, 0.500) (multiplicity 1)
Cu (0.500, 0.500, 0.000) (multiplicity 1)



This record from the Alexandria database describes an optimized crystal structure of KLa2Cu. The functional is PBE-GGA.

Cell lengths 7.840, 7.840, 7.840 Å; angles 90.00, 90.00, 90.00 degrees
Space group F-43m (No. 216)
One atom of each set of equivalent atoms:
K (0.000, 0.000, 0.000) (multiplicity 4)
La (0.000, 0.000, 0.500) (multiplicity 4)
La (0.250, 0.250, 0.250) (multiplicity 4)
Cu (0.250, 0.250, 0.750) (multiplicity 4)



This record from the Alexandria database describes an optimized crystal structure of KLaCu. The functional is PBE-GGA.

Cell lengths 5.282, 5.289, 15.248 Å; angles 90.00, 90.00, 90.00 degrees
Space group Fmm2 (No. 42)
One atom of each set of equivalent atoms:
K (0.000, 0.000, 0.000) (multiplicity 4)
La (0.000, 0.000, 0.749) (multiplicity 4)
Cu (0.000, 0.000, 0.340) (multiplicity 4)



This record from the Alexandria database describes an optimized crystal structure of KLa2Cu. The functional is PBE-GGA.

Cell lengths 13.900, 3.597, 6.137 Å; angles 90.00, 116.14, 90.00 degrees
Space group C2/m (No. 12)
One atom of each set of equivalent atoms:
K (0.000, 0.000, 0.000) (multiplicity 2)
La (0.195, 0.000, 0.695) (multiplicity 4)
Cu (0.000, 0.500, 0.500) (multiplicity 2)



Number 1: excess energy over the best structure of this formula in the dataset 390 meV/atom. Number 2: excess energy over the best structure of this formula in the dataset 91 meV/atom. Number 3: excess energy over the best structure of this formula in the dataset 51 meV/atom. Number 4: excess energy over the best structure of this formula in the dataset 64 meV/atom. Number 5: excess energy over the best structure of this formula in the dataset 363 meV/atom. Number 6: excess energy over the best structure of this formula in the dataset 486 meV/atom. Number 7: excess energy over the best structure of this formula in the dataset 20 meV/atom. Number 8: excess energy over the best structure of this formula in the dataset 160 meV/atom.